# Al2CrPt | Alexandria | PBEsol | optimized geometry
# DOS at the Fermi energy	0.710	states/eV/atom
# ΔE_f	-0.35	eV per atom
# electronic total energy	-6.70	eV/atom
# density	9.02	g/cm3
# magnetization	1.5	μB per formula unit
data_Al2CrPt
_chemical_formula_sum 'Al2 Cr1 Pt1'
_cell_length_a 2.7486
_cell_length_b 3.7868
_cell_length_c 5.3261
_cell_angle_alpha 90.00
_cell_angle_beta 90.00
_cell_angle_gamma 90.00
_symmetry_space_group_name_H-M 'P m m 2'
_symmetry_Int_Tables_number 25
loop_
_symmetry_equiv_pos_as_xyz
'x,y,z'
'-x,-y,z'
'-x,y,z'
'x,-y,z'
loop_
_atom_site_label
_atom_site_type_symbol
_atom_site_fract_x
_atom_site_fract_y
_atom_site_fract_z
_atom_site_occupancy
Al1 Al 0.0000 0.0000 0.0000 1
Al2 Al 0.5000 0.5000 0.2795 1
Cr1 Cr 0.0000 0.0000 0.4932 1
Pt1 Pt 0.5000 0.5000 0.7750 1